Entry 1:
The following is a PBEsol calculation of Zr10Al6O after structural relaxation, from the Alexandria database. Values from VASP.

Summary:
The value obtained for the calculated total energy is -7.78 eV/atom. Its space group is No. 162.

Cell and atoms, written as Quantum ESPRESSO input:
```
&SYSTEM
  ibrav = 0, nat = 17, ntyp = 3
/
ATOMIC_SPECIES
Zr 91.22 Zr.upf
Al 26.98 Al.upf
O 16.00 O.upf
CELL_PARAMETERS angstrom
8.233 0.000 0.000
-4.116 7.130 0.000
0.000 0.000 5.445
ATOMIC_POSITIONS crystal
Zr 0.000 0.232 0.252
Zr 0.000 0.768 0.748
Zr 0.232 0.000 0.252
Zr 0.232 0.232 0.748
Zr 0.333 0.667 0.000
Zr 0.333 0.667 0.500
Zr 0.667 0.333 0.000
Zr 0.667 0.333 0.500
Zr 0.768 0.000 0.748
Zr 0.768 0.768 0.252
Al 0.000 0.398 0.754
Al 0.000 0.602 0.246
Al 0.398 0.000 0.754
Al 0.398 0.398 0.246
Al 0.602 0.000 0.246
Al 0.602 0.602 0.754
O 0.000 0.000 0.500
```

---

Entry 2:
The following is a PBEsol calculation of TaReMo after structural relaxation, from the Alexandria database. Values from VASP.

Summary:
Its formation energy is -0.565 eV/f.u. Its space group is No. 107.

Cell and atoms, written as Quantum ESPRESSO input:
```
&SYSTEM
  ibrav = 0, nat = 3, ntyp = 3
/
ATOMIC_SPECIES
Ta 180.95 Ta.upf
Re 186.21 Re.upf
Mo 95.94 Mo.upf
CELL_PARAMETERS angstrom
-1.578 1.578 4.752
1.578 -1.578 4.752
1.578 1.578 -4.752
ATOMIC_POSITIONS crystal
Ta 0.000 0.000 0.000
Re 0.668 0.668 0.000
Mo 0.330 0.330 0.000
```

---

Entry 3:
The following is a PBEsol calculation of Sc2BeSi after structural relaxation, from the Alexandria database. Values from VASP.

Summary:
The value obtained for the calculated total energy is -5.35 eV/atom. Its space group is No. 166.

Cell and atoms, written as Quantum ESPRESSO input:
```
&SYSTEM
  ibrav = 0, nat = 4, ntyp = 3
/
ATOMIC_SPECIES
Sc 44.96 Sc.upf
Be 9.01 Be.upf
Si 28.09 Si.upf
CELL_PARAMETERS angstrom
1.537 0.887 9.320
-1.537 0.887 9.320
0.000 -1.775 9.320
ATOMIC_POSITIONS crystal
Sc 0.097 0.097 0.097
Sc 0.903 0.903 0.903
Be 0.500 0.500 0.500
Si 0.000 0.000 0.000
```